NbCoBAu: optimized geometry, GGA-PBE.

a = 4.251 Å, b = 4.251 Å, c = 4.251 Å
α = 60.00°, β = 60.00°, γ = 60.00°
Element x y z (fractional)
Nb 0.000 0.000 0.000
Co 0.500 0.500 0.500
B 0.250 0.250 0.250
Au 0.750 0.750 0.750

Values from the calculation:
Volume: 13.58 A^3/atom
ΔE to the lowest computed polymorph: 0.113 eV/atom
E: -6.306 eV/atom


NbCoBAu: optimized geometry, GGA-PBE.

a = 4.275 Å, b = 4.275 Å, c = 4.275 Å
α = 60.00°, β = 60.00°, γ = 60.00°
Element x y z (fractional)
Nb 0.000 0.000 0.000
Co 0.250 0.250 0.250
B 0.500 0.500 0.500
Au 0.750 0.750 0.750

Values from the calculation:
Volume: 13.81 A^3/atom
ΔE to the lowest computed polymorph: 0.349 eV/atom
E: -6.069 eV/atom


CoBPtAu: optimized geometry, GGA-PBE.

a = 4.227 Å, b = 4.227 Å, c = 4.227 Å
α = 60.00°, β = 60.00°, γ = 60.00°
Element x y z (fractional)
Co 0.000 0.000 0.000
B 0.750 0.750 0.750
Pt 0.500 0.500 0.500
Au 0.250 0.250 0.250

Values from the calculation:
Volume: 13.35 A^3/atom
ΔE to the lowest computed polymorph: 0.000 eV/atom
E: -5.033 eV/atom


CoReBAu: optimized geometry, GGA-PBE.

a = 4.163 Å, b = 4.163 Å, c = 4.163 Å
α = 60.00°, β = 60.00°, γ = 60.00°
Element x y z (fractional)
Co 0.000 0.000 0.000
Re 0.500 0.500 0.500
B 0.750 0.750 0.750
Au 0.250 0.250 0.250

Values from the calculation:
Volume: 12.76 A^3/atom
ΔE to the lowest computed polymorph: 0.000 eV/atom
E: -6.460 eV/atom


CoReBAu: optimized geometry, GGA-PBE.

a = 4.207 Å, b = 4.207 Å, c = 4.207 Å
α = 60.00°, β = 60.00°, γ = 60.00°
Element x y z (fractional)
Co 0.000 0.000 0.000
Re 0.250 0.250 0.250
B 0.750 0.750 0.750
Au 0.500 0.500 0.500

Values from the calculation:
Volume: 13.16 A^3/atom
ΔE to the lowest computed polymorph: 0.344 eV/atom
E: -6.115 eV/atom


CoTcBAu: optimized geometry, GGA-PBE.

a = 4.168 Å, b = 4.168 Å, c = 4.168 Å
α = 60.00°, β = 60.00°, γ = 60.00°
Element x y z (fractional)
Co 0.000 0.000 0.000
Tc 0.500 0.500 0.500
B 0.750 0.750 0.750
Au 0.250 0.250 0.250

Values from the calculation:
Volume: 12.80 A^3/atom
ΔE to the lowest computed polymorph: 0.000 eV/atom
E: -6.092 eV/atom


CoBWAu: optimized geometry, GGA-PBE.

a = 4.224 Å, b = 4.224 Å, c = 4.224 Å
α = 60.00°, β = 60.00°, γ = 60.00°
Element x y z (fractional)
Co 0.000 0.000 0.000
B 0.750 0.750 0.750
W 0.250 0.250 0.250
Au 0.500 0.500 0.500

Values from the calculation:
Volume: 13.32 A^3/atom
ΔE to the lowest computed polymorph: 0.298 eV/atom
E: -6.392 eV/atom


CoBWAu: optimized geometry, GGA-PBE.

a = 4.185 Å, b = 4.185 Å, c = 4.185 Å
α = 60.00°, β = 60.00°, γ = 60.00°
Element x y z (fractional)
Co 0.000 0.000 0.000
B 0.750 0.750 0.750
W 0.500 0.500 0.500
Au 0.250 0.250 0.250

Values from the calculation:
Volume: 12.96 A^3/atom
ΔE to the lowest computed polymorph: 0.000 eV/atom
E: -6.689 eV/atom